# 1
TmMgZr: optimized geometry, PBE-GGA.

Structure (POSCAR):
```
TmMgZr
1.0
4.413 0.000 0.000
0.000 10.155 0.000
0.000 0.000 3.417
Tm Mg Zr
2 2 2
Direct
0.000 0.245 0.000 Tm
0.500 0.755 0.500 Tm
0.000 0.578 0.002 Mg
0.500 0.422 0.502 Mg
0.000 0.930 0.000 Zr
0.500 0.070 0.500 Zr
```

## Properties
offset from the most stable computed form	10	meV per atom
total DFT energy (no corrections)	-4.876	eV/atom
size of the total moment	0.0	μB/cell
space-group type	Pmn2_1


# 2
TlHgAu3: optimized geometry, PBE-GGA.

Structure (POSCAR):
```
TlHgAu3
1.0
5.309 0.000 0.000
0.000 5.309 0.000
0.000 0.000 5.309
Tl Hg Au
1 1 3
Direct
0.000 0.000 0.000 Tl
0.500 0.500 0.500 Hg
0.000 0.500 0.500 Au
0.500 0.000 0.500 Au
0.500 0.500 0.000 Au
```

## Properties
offset from the most stable computed form	374	meV per atom
total DFT energy (no corrections)	-2.106	eV/atom
size of the total moment	0.0	μB/cell
space-group type	Pm-3m


# 3
Ir3CN: optimized geometry, PBE-GGA.

Structure (POSCAR):
```
Ir3CN
1.0
4.034 0.000 0.000
0.000 4.034 0.000
0.000 0.000 4.034
Ir C N
3 1 1
Direct
0.000 0.000 0.500 Ir
0.000 0.500 0.000 Ir
0.500 0.000 0.000 Ir
0.000 0.000 0.000 C
0.500 0.500 0.500 N
```

## Properties
offset from the most stable computed form	0	meV per atom
formation energy without anion corrections	1.646	eV/atom
total DFT energy (no corrections)	-7.180	eV/atom
size of the total moment	0.1	μB/cell
space-group type	Pm-3m


# 4
SrAl2Ag: optimized geometry, PBE-GGA.

Structure (POSCAR):
```
SrAl2Ag
1.0
3.442 0.000 0.000
0.000 3.442 0.000
0.000 0.000 7.626
Sr Al Ag
1 2 1
Direct
0.000 0.000 0.000 Sr
0.500 0.500 0.311 Al
0.500 0.500 0.689 Al
0.000 0.000 0.500 Ag
```

## Properties
total DFT energy (no corrections)	-3.080	eV/atom
size of the total moment	0.0	μB/cell
space-group type	P4/mmm


# 5
CaCu4As2: optimized geometry, PBE-GGA.

Structure (POSCAR):
```
CaCu4As2
1.0
7.534 0.000 0.000
0.000 7.534 0.000
0.000 0.000 3.923
Ca Cu As
2 8 4
Direct
0.000 0.000 0.000 Ca
0.500 0.500 0.500 Ca
0.085 0.346 0.500 Cu
0.154 0.585 0.000 Cu
0.346 0.085 0.500 Cu
0.415 0.846 0.000 Cu
0.585 0.154 0.000 Cu
0.654 0.915 0.500 Cu
0.846 0.415 0.000 Cu
0.915 0.654 0.500 Cu
0.219 0.781 0.500 As
0.281 0.281 0.000 As
0.719 0.719 0.000 As
0.781 0.219 0.500 As
```

## Properties
offset from the most stable computed form	0	meV per atom
total DFT energy (no corrections)	-4.326	eV/atom
size of the total moment	0.0	μB/cell
space-group type	P4_2/mnm


# 6
BaHg3Sb: optimized geometry, PBE-GGA.

Structure (POSCAR):
```
BaHg3Sb
1.0
5.717 0.000 0.000
0.000 5.717 0.000
0.000 0.000 5.717
Ba Hg Sb
1 3 1
Direct
0.000 0.000 0.000 Ba
0.000 0.500 0.500 Hg
0.500 0.000 0.500 Hg
0.500 0.500 0.000 Hg
0.500 0.500 0.500 Sb
```

## Properties
offset from the most stable computed form	347	meV per atom
formation energy without anion corrections	-0.076	eV/atom
total DFT energy (no corrections)	-1.466	eV/atom
size of the total moment	0.0	μB/cell
space-group type	Pm-3m


# 7
DyGa5Pd2: optimized geometry, PBE-GGA.

Structure (POSCAR):
```
DyGa5Pd2
1.0
-1.978 3.694 4.950
1.978 -3.694 4.950
1.978 3.694 -4.950
Dy Ga Pd
1 5 2
Direct
0.000 0.000 0.000 Dy
0.167 0.359 0.808 Ga
0.449 0.641 0.808 Ga
0.500 0.000 0.500 Ga
0.551 0.359 0.192 Ga
0.833 0.641 0.192 Ga
0.247 0.747 0.500 Pd
0.753 0.253 0.500 Pd
```

## Properties
total DFT energy (no corrections)	-4.299	eV/atom
size of the total moment	0.0	μB/cell
space-group type	Immm


# 8
Li3PuU3N8: optimized geometry, PBE-GGA.

Structure (POSCAR):
```
Li3PuU3N8
1.0
3.491 2.016 4.944
-3.491 2.016 4.944
0.000 -4.031 4.944
Li Pu U N
3 1 3 8
Direct
0.000 0.500 0.500 Li
0.500 0.000 0.500 Li
0.500 0.500 0.000 Li
0.500 0.500 0.500 Pu
0.000 0.000 0.500 U
0.000 0.500 0.000 U
0.500 0.000 0.000 U
0.221 0.735 0.735 N
0.239 0.239 0.239 N
0.265 0.265 0.779 N
0.265 0.779 0.265 N
0.735 0.221 0.735 N
0.735 0.735 0.221 N
0.761 0.761 0.761 N
0.779 0.265 0.265 N
```

## Properties
formation energy without anion corrections	-1.025	eV/atom
total DFT energy (no corrections)	-9.061	eV/atom
size of the total moment	5.1	μB/cell
space-group type	R-3m


# 9
Na3ZnPb: optimized geometry, PBE-GGA.

Structure (POSCAR):
```
Na3ZnPb
1.0
6.032 0.000 0.000
0.000 6.032 0.000
0.000 0.000 6.032
Na Zn Pb
3 1 1
Direct
0.000 0.000 0.500 Na
0.000 0.500 0.000 Na
0.500 0.000 0.000 Na
0.500 0.500 0.500 Zn
0.000 0.000 0.000 Pb
```

## Properties
offset from the most stable computed form	310	meV per atom
total DFT energy (no corrections)	-1.527	eV/atom
size of the total moment	1.0	μB/cell
space-group type	Pm-3m


# 10
Os2RhPb: optimized geometry, PBE-GGA.

Structure (POSCAR):
```
Os2RhPb
1.0
4.750 0.000 0.000
0.000 2.899 0.000
-1.336 0.000 4.744
Os Rh Pb
2 1 1
Direct
0.000 0.000 0.000 Os
0.500 0.500 0.000 Os
0.000 0.500 0.500 Rh
0.500 0.000 0.500 Pb
```

## Properties
total DFT energy (no corrections)	-7.683	eV/atom
size of the total moment	0.0	μB/cell
space-group type	P2/m


# 11
SrTc2S: optimized geometry, PBE-GGA.

Structure (POSCAR):
```
SrTc2S
1.0
-2.377 2.377 8.318
2.377 -2.377 8.318
2.377 2.377 -8.318
Sr Tc S
2 4 2
Direct
0.000 0.000 0.000 Sr
0.750 0.250 0.500 Sr
0.370 0.125 0.745 Tc
0.375 0.630 0.755 Tc
0.380 0.625 0.255 Tc
0.875 0.620 0.245 Tc
0.250 0.750 0.500 S
0.500 0.500 0.000 S
```

## Properties
formation energy without anion corrections	0.165	eV/atom
total DFT energy (no corrections)	-6.470	eV/atom
size of the total moment	0.0	μB/cell
space-group type	I-42d


# 12
Ti2CuSiMo: optimized geometry, PBE-GGA.

Structure (POSCAR):
```
Ti2CuSiMo
1.0
4.562 0.000 0.000
0.000 4.562 0.000
0.000 0.000 4.097
Ti Cu Si Mo
2 1 1 1
Direct
0.000 0.500 0.000 Ti
0.500 0.000 0.000 Ti
0.000 0.000 0.000 Cu
0.000 0.000 0.500 Si
0.500 0.500 0.500 Mo
```

## Properties
formation energy without anion corrections	0.669	eV/atom
total DFT energy (no corrections)	-6.559	eV/atom
size of the total moment	0.0	μB/cell
space-group type	P4/mmm


# 13
TaMoS4: optimized geometry, PBE-GGA.

Structure (POSCAR):
```
TaMoS4
1.0
6.774 -1.653 0.000
6.774 1.653 0.000
-0.945 0.000 5.634
Ta Mo S
1 1 4
Direct
0.000 0.000 0.000 Ta
0.500 0.500 0.500 Mo
0.115 0.115 0.381 S
0.383 0.383 0.123 S
0.617 0.617 0.877 S
0.885 0.885 0.619 S
```

## Properties
offset from the most stable computed form	141	meV per atom
formation energy without anion corrections	-0.812	eV/atom
total DFT energy (no corrections)	-7.344	eV/atom
size of the total moment	0.0	μB/cell
space-group type	C2/m


# 14
Mg2TlPd3: optimized geometry, PBE-GGA.

Structure (POSCAR):
```
Mg2TlPd3
1.0
3.223 0.000 0.000
0.000 3.223 0.000
0.000 0.000 9.964
Mg Tl Pd
2 1 3
Direct
0.000 0.000 0.158 Mg
0.000 0.000 0.842 Mg
0.000 0.000 0.500 Tl
0.500 0.500 0.000 Pd
0.500 0.500 0.312 Pd
0.500 0.500 0.688 Pd
```

## Properties
total DFT energy (no corrections)	-4.038	eV/atom
size of the total moment	0.0	μB/cell
space-group type	P4/mmm


# 15
FeReIN2: optimized geometry, PBE-GGA.

Structure (POSCAR):
```
FeReIN2
1.0
3.672 0.000 0.000
0.000 3.672 0.000
0.000 0.000 6.295
Fe Re I N
1 1 1 2
Direct
0.000 0.000 0.000 Fe
0.500 0.500 0.500 Re
0.000 0.000 0.500 I
0.000 0.500 0.000 N
0.500 0.000 0.000 N
```

## Properties
offset from the most stable computed form	938	meV per atom
formation energy without anion corrections	1.861	eV/atom
total DFT energy (no corrections)	-5.961	eV/atom
size of the total moment	2.2	μB/cell
space-group type	P4/mmm


# 16
Ca2LaTaAs: optimized geometry, PBE-GGA.

Structure (POSCAR):
```
Ca2LaTaAs
1.0
5.516 0.000 0.000
0.000 5.516 0.000
0.000 0.000 5.034
Ca La Ta As
2 1 1 1
Direct
0.000 0.500 0.000 Ca
0.500 0.000 0.000 Ca
0.000 0.000 0.500 La
0.500 0.500 0.500 Ta
0.500 0.500 0.000 As
```

## Properties
total DFT energy (no corrections)	-4.924	eV/atom
size of the total moment	0.9	μB/cell
space-group type	P4/mmm


# 17
Pr6SnSe12: optimized geometry, PBE-GGA.

Structure (POSCAR):
```
Pr6SnSe12
1.0
6.371 3.678 4.106
-6.371 3.678 4.106
0.000 -7.356 4.106
Pr Sn Se
6 1 12
Direct
0.140 0.821 0.638 Pr
0.179 0.362 0.860 Pr
0.362 0.860 0.179 Pr
0.638 0.140 0.821 Pr
0.821 0.638 0.140 Pr
0.860 0.179 0.362 Pr
0.500 0.500 0.500 Sn
0.069 0.921 0.318 Se
0.079 0.682 0.931 Se
0.167 0.460 0.519 Se
0.318 0.069 0.921 Se
0.460 0.519 0.167 Se
0.481 0.833 0.540 Se
0.519 0.167 0.460 Se
0.540 0.481 0.833 Se
0.682 0.931 0.079 Se
0.833 0.540 0.481 Se
0.921 0.318 0.069 Se
0.931 0.079 0.682 Se
```

## Properties
formation energy without anion corrections	-1.470	eV/atom
total DFT energy (no corrections)	-5.390	eV/atom
size of the total moment	0.0	μB/cell
space-group type	R-3


# 18
MnCo4Si: optimized geometry, PBE-GGA.

Structure (POSCAR):
```
MnCo4Si
1.0
0.000 3.283 3.283
3.283 0.000 3.283
3.283 3.283 0.000
Mn Co Si
1 4 1
Direct
0.000 0.000 0.000 Mn
0.375 0.375 0.375 Co
0.375 0.375 0.874 Co
0.375 0.874 0.375 Co
0.874 0.375 0.375 Co
0.750 0.750 0.750 Si
```

## Properties
formation energy without anion corrections	0.076	eV/atom
total DFT energy (no corrections)	-7.093	eV/atom
size of the total moment	9.0	μB/cell
space-group type	F-43m


# 19
SbMoIr2: optimized geometry, PBE-GGA.

Structure (POSCAR):
```
SbMoIr2
1.0
-2.025 2.025 3.951
2.025 -2.025 3.951
2.025 2.025 -3.951
Sb Mo Ir
1 1 2
Direct
0.000 0.000 0.000 Sb
0.750 0.250 0.500 Mo
0.250 0.750 0.500 Ir
0.500 0.500 0.000 Ir
```

## Properties
formation energy without anion corrections	0.133	eV/atom
total DFT energy (no corrections)	-8.036	eV/atom
size of the total moment	0.0	μB/cell
space-group type	I-4m2


# 20
ErCoGe: optimized geometry, PBE-GGA.

Structure (POSCAR):
```
ErCoGe
1.0
4.120 0.000 0.000
-2.060 3.568 0.000
0.000 0.000 3.664
Er Co Ge
1 1 1
Direct
0.000 0.000 0.000 Er
0.667 0.333 0.500 Co
0.333 0.667 0.500 Ge
```

## Properties
total DFT energy (no corrections)	-6.017	eV/atom
size of the total moment	0.0	μB/cell
space-group type	P-6m2